# 1
Entry from the Alexandria database: a relaxed La5PmSmDy2 crystal (PBE-GGA).

**VASP energy**: -4.542 eV per atom
**ΔE_f**: 271 meV/atom
**Total magnetization**: 0.00 μB per cell
**Space group**: No. 140

POSCAR file:
```
La5PmSmDy2
1.0
-4.703 4.703 7.312
4.703 -4.703 7.312
4.703 4.703 -7.312
La Pm Sm Dy
10 2 2 4
Cartesian
0.000 0.000 0.000 La
6.576 1.873 -1.963 La
1.873 2.829 -1.963 La
6.576 1.873 1.963 La
1.873 2.829 1.963 La
0.000 0.000 7.312 La
2.829 1.873 5.350 La
-1.873 2.829 5.350 La
2.829 1.873 9.275 La
-1.873 2.829 9.275 La
0.000 0.000 3.656 Pm
0.000 0.000 10.969 Pm
4.703 0.000 3.656 Sm
0.000 4.703 3.656 Sm
3.665 1.038 0.000 Dy
3.665 -1.038 7.312 Dy
1.038 5.740 0.000 Dy
1.038 3.665 7.312 Dy
```

=====

# 2
Entry from the Alexandria database: a relaxed La2PmSmDy crystal (PBE-GGA).

**VASP energy**: -4.547 eV per atom
**ΔE_f**: 238 meV/atom
**Total magnetization**: 0.00 μB per cell
**Space group**: No. 13

POSCAR file:
```
La2PmSmDy
1.0
7.967 0.000 0.000
0.000 6.963 0.000
-0.010 0.000 6.380
La Pm Sm Dy
4 2 2 2
Cartesian
1.581 1.352 1.602 La
1.577 5.611 4.792 La
6.381 1.352 1.587 La
6.376 5.611 4.777 La
3.976 0.631 4.785 Pm
3.981 6.332 1.595 Pm
3.983 3.481 0.000 Sm
3.979 3.481 3.190 Sm
-0.007 2.397 4.785 Dy
-0.002 4.565 1.595 Dy
```

=====

# 3
Entry from the Alexandria database: a relaxed La2Pm3SmDy6 crystal (PBE-GGA).

**VASP energy**: -4.689 eV per atom
**ΔE_f**: 14 meV/atom
**Total magnetization**: 0.00 μB per cell
**Space group**: No. 12

POSCAR file:
```
La2Pm3SmDy6
1.0
3.137 -5.433 0.000
3.137 5.433 0.000
-2.086 0.000 11.688
La Pm Sm Dy
2 3 1 6
Cartesian
3.137 3.624 0.000 La
3.137 -3.624 0.000 La
-1.043 0.000 5.844 Pm
2.094 1.810 5.844 Pm
2.094 -1.810 5.844 Pm
3.137 0.000 0.000 Sm
0.005 1.808 8.745 Dy
1.053 0.000 2.944 Dy
0.005 -1.808 8.745 Dy
4.182 1.808 2.943 Dy
3.135 0.000 8.744 Dy
4.182 -1.808 2.943 Dy
```

=====

# 4
Entry from the Alexandria database: a relaxed La4Pm2SmDy crystal (PBE-GGA).

**VASP energy**: -4.801 eV per atom
**ΔE_f**: 15 meV/atom
**Total magnetization**: 0.00 μB per cell
**Space group**: No. 10

POSCAR file:
```
La4Pm2SmDy
1.0
5.230 0.000 0.000
0.000 5.267 0.000
-0.011 0.000 10.225
La Pm Sm Dy
4 2 1 1
Cartesian
-0.002 0.000 2.541 La
5.221 0.000 7.684 La
2.604 2.633 7.680 La
2.615 2.633 2.546 La
0.000 2.633 0.000 Pm
2.609 0.000 5.113 Pm
-0.006 2.633 5.113 Sm
2.615 0.000 0.000 Dy
```

=====

# 5
Entry from the Alexandria database: a relaxed LaPmSm2Dy5 crystal (PBE-GGA).

**VASP energy**: -4.427 eV per atom
**ΔE_f**: 254 meV/atom
**Total magnetization**: 0.00 μB per cell
**Space group**: No. 140

POSCAR file:
```
LaPmSm2Dy5
1.0
-4.388 4.388 7.775
4.388 -4.388 7.775
4.388 4.388 -7.775
La Pm Sm Dy
2 2 4 10
Cartesian
0.000 0.000 3.888 La
0.000 0.000 11.663 La
4.388 0.000 3.888 Pm
0.000 4.388 3.888 Pm
5.416 1.028 0.000 Sm
1.028 3.360 0.000 Sm
3.360 1.028 7.775 Sm
-1.028 3.360 7.775 Sm
0.000 0.000 0.000 Dy
2.575 1.813 -2.097 Dy
2.575 -1.813 5.679 Dy
2.575 1.813 2.097 Dy
2.575 -1.813 9.872 Dy
0.000 0.000 7.775 Dy
1.813 6.201 -2.097 Dy
1.813 2.575 5.679 Dy
1.813 6.201 2.097 Dy
1.813 2.575 9.872 Dy
```

=====

# 6
Entry from the Alexandria database: a relaxed LaPmDySn crystal (PBE-GGA).

**VASP energy**: -4.842 eV per atom
**ΔE_f**: -271 meV/atom
**Total magnetization**: 0.00 μB per cell
**Space group**: No. 216

POSCAR file:
```
LaPmDySn
1.0
0.000 3.931 3.931
3.931 0.000 3.931
3.931 3.931 0.000
La Pm Dy Sn
1 1 1 1
Cartesian
0.000 0.000 0.000 La
3.931 3.931 3.931 Pm
1.966 1.966 1.966 Dy
5.897 5.897 5.897 Sn
```

=====

# 7
Entry from the Alexandria database: a relaxed La2TbPm4Dy crystal (PBE-GGA).

**VASP energy**: -4.738 eV per atom
**ΔE_f**: 24 meV/atom
**Total magnetization**: 0.00 μB per cell
**Space group**: No. 10

POSCAR file:
```
La2TbPm4Dy
1.0
5.148 0.000 0.000
0.000 5.165 0.000
-0.026 0.000 10.369
La Tb Pm Dy
2 1 4 1
Cartesian
0.000 0.000 0.000 La
2.561 2.582 5.184 La
-0.013 0.000 5.184 Tb
5.140 2.582 2.586 Pm
-0.017 2.582 7.783 Pm
2.569 0.000 2.594 Pm
2.554 0.000 7.775 Pm
2.574 2.582 0.000 Dy
```

=====

# 8
Entry from the Alexandria database: a relaxed LaTb2PmDy2 crystal (PBE-GGA).

**VASP energy**: -4.522 eV per atom
**ΔE_f**: 168 meV/atom
**Total magnetization**: 0.00 μB per cell
**Space group**: No. 58

POSCAR file:
```
LaTb2PmDy2
1.0
7.004 0.000 0.000
0.000 16.227 0.000
0.000 0.000 3.565
La Tb Pm Dy
2 4 2 4
Cartesian
0.000 0.000 0.000 La
3.502 8.114 1.782 La
1.744 5.544 0.000 Tb
1.758 13.657 1.782 Tb
5.246 2.570 1.782 Tb
5.260 10.683 0.000 Tb
0.000 8.114 1.782 Pm
3.502 0.000 0.000 Pm
1.754 2.562 1.782 Dy
1.748 10.676 0.000 Dy
5.255 5.551 0.000 Dy
5.250 13.665 1.782 Dy
```

=====

# 9
Entry from the Alexandria database: a relaxed LaTbPm4Dy2 crystal (PBE-GGA).

**VASP energy**: -4.702 eV per atom
**ΔE_f**: 19 meV/atom
**Total magnetization**: 0.00 μB per cell
**Space group**: No. 10

POSCAR file:
```
LaTbPm4Dy2
1.0
6.262 0.000 0.000
0.000 3.637 0.000
-2.126 0.000 11.838
La Tb Pm Dy
1 1 4 2
Cartesian
0.000 0.000 0.000 La
3.131 1.818 0.000 Tb
-0.024 0.000 8.847 Pm
1.032 1.818 3.012 Pm
3.104 1.818 8.826 Pm
4.160 0.000 2.991 Pm
-1.063 1.818 5.919 Dy
2.068 0.000 5.919 Dy
```

=====

# 10
Entry from the Alexandria database: a relaxed La2Tb6Pm3Dy crystal (PBE-GGA).

**VASP energy**: -4.693 eV per atom
**ΔE_f**: 15 meV/atom
**Total magnetization**: 0.00 μB per cell
**Space group**: No. 12

POSCAR file:
```
La2Tb6Pm3Dy
1.0
3.135 -5.429 0.000
3.135 5.429 0.000
-2.086 0.000 11.745
La Tb Pm Dy
2 6 3 1
Cartesian
3.135 3.623 0.000 La
3.135 -3.623 0.000 La
0.005 1.804 8.794 Tb
1.055 0.000 2.955 Tb
0.005 -1.804 8.794 Tb
4.179 1.804 2.951 Tb
3.128 0.000 8.791 Tb
4.179 -1.804 2.951 Tb
-1.043 0.000 5.873 Pm
2.092 1.809 5.873 Pm
2.092 -1.809 5.873 Pm
3.135 0.000 0.000 Dy
```

=====

Question: Which value of total magnetization does entry 3 give?
Answer: 0.00 μB per cell

=====

Question: What is the formula in the third record?
Answer: La2Pm3SmDy6